# 1
TePRu2: relaxed, PBE.

a b c (Å): 3.1391 4.0984 5.1305
angles (deg): 90.00 90.00 90.00
Sites, in units of the cell vectors:
1 Te 0.5000 0.5000 0.0000
2 P 0.0000 0.5000 0.5000
3 Ru 0.0000 0.0000 0.0000
4 Ru 0.5000 0.0000 0.5000

## Properties
- mass density (g/cm³) = 9.07
- total moment (μB/cell) = 0.000
- space group = No. 47
- formation energy from raw total energies (eV/atom) = 0.60
- ΔE to the lowest computed polymorph (eV/atom) = 0.798
- E (eV/atom) = -6.1746

=====

# 2
TePRu4: relaxed, PBE.

a b c (Å): 5.1918 5.1918 5.1918
angles (deg): 60.00 60.00 60.00
Last column: magnetic moment on the atom in μB.
Sites, in units of the cell vectors:
1 Te 0.7500 0.7500 0.7500  0.00
2 P 0.0000 0.0000 0.0000  0.00
3 Ru 0.8763 0.3746 0.3746  0.14
4 Ru 0.3746 0.3746 0.8763  0.14
5 Ru 0.3746 0.8763 0.3746  0.14
6 Ru 0.3746 0.3746 0.3746  0.14

## Properties
- mass density (g/cm³) = 9.44
- total moment (μB/cell) = 0.570
- space group = No. 216
- formation energy from raw total energies (eV/atom) = 0.83
- E (eV/atom) = -6.7826

=====

# 3
Te2PRu: relaxed, PBE.

a b c (Å): 4.8250 4.8250 4.8250
angles (deg): 60.00 60.00 60.00
Sites, in units of the cell vectors:
1 Te 0.0000 0.0000 0.0000
2 Te 0.7500 0.7500 0.7500
3 P 0.5000 0.5000 0.5000
4 Ru 0.2500 0.2500 0.2500

## Properties
- mass density (g/cm³) = 8.10
- total moment (μB/cell) = 0.000
- space group = No. 216
- formation energy from raw total energies (eV/atom) = 0.74
- E (eV/atom) = -4.5034

=====

# 4
TePRu2: relaxed, PBE.

a b c (Å): 7.9159 7.9159 7.9159
angles (deg): 22.55 22.55 22.55
Sites, in units of the cell vectors:
1 Te 0.5000 0.5000 0.5000
2 P 0.0000 0.0000 0.0000
3 Ru 0.7376 0.7376 0.7376
4 Ru 0.2624 0.2624 0.2624

## Properties
- mass density (g/cm³) = 9.36
- total moment (μB/cell) = 0.000
- space group = No. 166
- formation energy from raw total energies (eV/atom) = 0.05
- ΔE to the lowest computed polymorph (eV/atom) = 0.248
- E (eV/atom) = -6.7237

=====

# 5
TeP2Ru: relaxed, PBE.

a b c (Å): 9.2027 9.2027 9.2027
angles (deg): 161.54 161.26 26.42
Sites, in units of the cell vectors:
1 P 0.9839 0.9839 0.0000
2 P 0.6568 0.1568 0.5000
3 Ru 0.5544 0.5544 0.0000
4 Te 0.3049 0.8049 0.5000

## Properties
- mass density (g/cm³) = 6.09
- total moment (μB/cell) = 0.000
- space group = No. 44
- formation energy from raw total energies (eV/atom) = 0.09
- E (eV/atom) = -5.7215

=====

# 6
TePRu: relaxed, PBE.

a b c (Å): 3.6451 3.6451 6.1811
angles (deg): 90.00 90.00 120.00
Sites, in units of the cell vectors:
1 Te 0.3333 0.6667 0.5788
2 P 0.0000 0.0000 0.1469
3 Ru 0.6667 0.3333 0.2743

## Properties
- mass density (g/cm³) = 6.06
- total moment (μB/cell) = 0.000
- space group = No. 156
- formation energy from raw total energies (eV/atom) = -0.12
- ΔE to the lowest computed polymorph (eV/atom) = 0.000
- E (eV/atom) = -6.0605

=====

# 7
TePRu2: relaxed, PBE.

a b c (Å): 4.8618 4.8618 4.8618
angles (deg): 137.45 114.97 80.86
Sites, in units of the cell vectors:
1 Te 0.0000 0.5000 0.5000
2 P 0.5000 0.0000 0.5000
3 Ru 0.6922 0.6922 0.0000
4 Ru 0.3078 0.3078 0.0000

## Properties
- mass density (g/cm³) = 8.78
- total moment (μB/cell) = 0.000
- space group = No. 71
- formation energy from raw total energies (eV/atom) = 0.18
- ΔE to the lowest computed polymorph (eV/atom) = 0.379
- E (eV/atom) = -6.5937

=====

# 8
TeP2Ru: relaxed, PBE.

a b c (Å): 4.1387 4.0596 4.3927
angles (deg): 77.57 90.00 90.00
Sites, in units of the cell vectors:
1 P 0.0000 0.0113 0.1006
2 P 0.0000 0.4887 0.3994
3 Ru 0.5000 0.2500 0.2500
4 Te 0.5000 0.7500 0.7500

## Properties
- mass density (g/cm³) = 6.70
- total moment (μB/cell) = 0.000
- space group = No. 10
- formation energy from raw total energies (eV/atom) = 0.08
- E (eV/atom) = -5.7342

=====

# 9
Te2PRu: relaxed, PBE.

a b c (Å): 3.5159 3.1216 8.0821
angles (deg): 72.14 90.00 90.00
Last column: magnetic moment on the atom in μB.
Sites, in units of the cell vectors:
1 Te 0.0000 0.8005 0.2164  0.00
2 Te 0.0000 0.1995 0.7836  0.00
3 P 0.5000 0.5000 0.5000  0.00
4 Ru 0.5000 0.5000 0.0000  0.18

## Properties
- mass density (g/cm³) = 7.62
- total moment (μB/cell) = 0.200
- space group = No. 10
- formation energy from raw total energies (eV/atom) = 0.48
- E (eV/atom) = -4.7586

=====

# 10
Te2PRu: relaxed, PBE.

a b c (Å): 3.2655 3.2655 7.5145
angles (deg): 90.00 90.00 90.00
Sites, in units of the cell vectors:
1 Te 0.0000 0.0000 0.7252
2 Te 0.0000 0.0000 0.2748
3 P 0.5000 0.5000 0.0000
4 Ru 0.5000 0.5000 0.5000

## Properties
- mass density (g/cm³) = 8.02
- total moment (μB/cell) = 0.000
- space group = No. 123
- formation energy from raw total energies (eV/atom) = 0.50
- E (eV/atom) = -4.7442

=====

# 11
TeP4Ru: relaxed, PBE.

a b c (Å): 5.1774 5.1774 5.1774
angles (deg): 60.00 60.00 60.00
Sites, in units of the cell vectors:
1 Te 0.0000 0.0000 0.0000
2 P 0.6286 0.6286 0.1143
3 P 0.6286 0.1143 0.6286
4 P 0.6286 0.6286 0.6286
5 P 0.1143 0.6286 0.6286
6 Ru 0.2500 0.2500 0.2500

## Properties
- mass density (g/cm³) = 5.97
- total moment (μB/cell) = 0.000
- space group = No. 216
- formation energy from raw total energies (eV/atom) = 0.95
- E (eV/atom) = -4.7248

=====

# 12
TePRu2: relaxed, PBE.

a b c (Å): 4.3606 4.3606 3.2997
angles (deg): 90.00 90.00 90.00
Sites, in units of the cell vectors:
1 Te 0.5000 0.5000 0.5000
2 P 0.0000 0.0000 0.5000
3 Ru 0.5000 0.0000 0.0000
4 Ru 0.0000 0.5000 0.0000

## Properties
- mass density (g/cm³) = 9.55
- total moment (μB/cell) = 0.001
- space group = No. 123
- formation energy from raw total energies (eV/atom) = 0.27
- ΔE to the lowest computed polymorph (eV/atom) = 0.463
- E (eV/atom) = -6.5094

=====

# 13
TeP2Ru: relaxed, PBE.

a b c (Å): 4.1618 4.1618 6.1945
angles (deg): 76.79 76.79 52.64
Sites, in units of the cell vectors:
1 P 0.9531 0.9531 0.9053
2 P 0.7942 0.7942 0.6779
3 Ru 0.5085 0.5085 0.5929
4 Te 0.2442 0.2442 0.3239

## Properties
- mass density (g/cm³) = 5.85
- total moment (μB/cell) = 0.000
- space group = No. 8
- formation energy from raw total energies (eV/atom) = 0.00
- E (eV/atom) = -5.8131

=====

# 14
TeP2Ru: relaxed, PBE.

a b c (Å): 3.1373 4.6151 4.6311
angles (deg): 90.00 90.00 90.00
Sites, in units of the cell vectors:
1 P 0.0000 0.0000 0.0000
2 P 0.5000 0.5000 0.0000
3 Ru 0.5000 0.0000 0.5000
4 Te 0.0000 0.5000 0.5000

## Properties
- mass density (g/cm³) = 7.20
- total moment (μB/cell) = 0.000
- space group = No. 47
- formation energy from raw total energies (eV/atom) = 0.69
- E (eV/atom) = -5.1234

=====

# 15
Te2PRu: relaxed, PBE.

a b c (Å): 8.3160 8.3160 8.3160
angles (deg): 158.62 153.54 34.27
Sites, in units of the cell vectors:
1 Te 0.6504 0.6504 0.0000
2 Te 0.3496 0.3496 0.0000
3 P 0.0000 0.5000 0.5000
4 Ru 0.5000 0.0000 0.5000

## Properties
- mass density (g/cm³) = 6.89
- total moment (μB/cell) = 0.000
- space group = No. 71
- formation energy from raw total energies (eV/atom) = 0.17
- E (eV/atom) = -5.0702

=====

# 16
Te2PRu: relaxed, PBE.

a b c (Å): 6.2190 6.2190 7.2744
angles (deg): 64.69 64.69 90.00
Sites, in units of the cell vectors:
1 Ru 0.0000 0.0000 0.0000
2 Ru 0.7500 0.2500 0.5000
3 Te 0.6535 0.1250 0.2500
4 Te 0.0965 0.6250 0.2500
5 Te 0.3750 0.3465 0.7500
6 Te 0.8750 0.9035 0.7500
7 P 0.5000 0.5000 0.0000
8 P 0.2500 0.7500 0.5000

## Properties
- mass density (g/cm³) = 5.74
- total moment (μB/cell) = 0.000
- space group = No. 122
- formation energy from raw total energies (eV/atom) = 0.43
- E (eV/atom) = -4.8133

=====

# 17
TePRu2: relaxed, PBE.

a b c (Å): 4.0117 4.0095 5.8552
angles (deg): 89.31 90.00 90.00
Sites, in units of the cell vectors:
1 Te 0.0000 0.3703 0.3872
2 P 0.5000 0.8789 0.9088
3 Ru 0.0000 0.8754 0.1019
4 Ru 0.5000 0.3754 0.1021

## Properties
- mass density (g/cm³) = 6.36
- total moment (μB/cell) = 0.000
- space group = No. 6
- formation energy from raw total energies (eV/atom) = -0.19
- ΔE to the lowest computed polymorph (eV/atom) = 0.005
- E (eV/atom) = -6.9671

=====

# 18
TeP2Ru: relaxed, PBE.

a b c (Å): 3.8224 3.8224 4.7603
angles (deg): 90.00 90.00 90.00
Sites, in units of the cell vectors:
1 Te 0.0000 0.0000 0.5000
2 P 0.0000 0.5000 0.0000
3 P 0.5000 0.0000 0.0000
4 Ru 0.5000 0.5000 0.5000

## Properties
- mass density (g/cm³) = 6.94
- total moment (μB/cell) = 0.000
- space group = No. 123
- formation energy from raw total energies (eV/atom) = 0.76
- E (eV/atom) = -5.0517

=====

# 19
TePRu2: relaxed, PBE.

a b c (Å): 4.2596 4.2596 5.6823
angles (deg): 82.08 82.08 43.51
Sites, in units of the cell vectors:
1 Te 0.4850 0.4850 0.5265
2 P 0.2826 0.2826 0.0669
3 Ru 0.9895 0.9895 0.1244
4 Ru 0.7429 0.7429 0.7822

## Properties
- mass density (g/cm³) = 8.53
- total moment (μB/cell) = 0.000
- space group = No. 8
- formation energy from raw total energies (eV/atom) = -0.20
- ΔE to the lowest computed polymorph (eV/atom) = 0.000
- E (eV/atom) = -6.9722

=====

# 20
TeP2Ru: relaxed, PBE.

a b c (Å): 3.2010 3.2013 7.2606
angles (deg): 90.00 90.00 90.00
Sites, in units of the cell vectors:
1 P 0.0000 0.0000 0.1225
2 P 0.5000 0.5000 0.2363
3 Ru 0.0000 0.0000 0.4601
4 Te 0.5000 0.5000 0.6811

## Properties
- mass density (g/cm³) = 6.49
- total moment (μB/cell) = 0.002
- space group = No. 99
- formation energy from raw total energies (eV/atom) = 0.18
- E (eV/atom) = -5.6295